--- A ---
# PmPrSiPt

A relaxed PmPrSiPt crystal (PBE, the Alexandria database).

Structure (POSCAR):
```
PmPrSiPt
1.0
4.235 0.000 0.000
0.000 2.094 5.547
0.000 -2.094 5.547
Pm Pr Si Pt
1 1 1 1
direct
0.000 0.000 0.000
0.500 0.720 0.720
0.000 0.293 0.293
0.500 0.438 0.438
```

## Properties
V   24.60 A^3/atom

=====

--- B ---
# PmPrSiPt

A relaxed PmPrSiPt crystal (PBE, the Alexandria database).

Structure (POSCAR):
```
PmPrSiPt
1.0
0.000 3.642 3.642
3.642 0.000 3.642
3.642 3.642 0.000
Pm Pr Si Pt
1 1 1 1
direct
0.000 0.000 0.000
0.500 0.500 0.500
0.750 0.750 0.750
0.250 0.250 0.250
```

## Properties
V   24.16 A^3/atom

=====

Q: What are the energies relative to the best structure? A: A 0.000; B 0.206, in eV/atom.